(1)
# TmZn

A relaxed structure of TmZn (PBE-GGA, OQMD via LeMat-Bulk).

```
TmZn
1.0
6.6057 0.0000 0.0000
0.0000 5.9163 0.0000
0.0000 0.0000 4.5153
Tm Zn
4 4
direct
0.7536 0.2420 0.5000
0.0797 0.5080 0.0000
0.2536 0.0080 0.5000
0.5797 0.7420 0.0000
0.4670 0.2435 0.0000
0.3663 0.5065 0.5000
0.8663 0.7435 0.5000
0.9670 0.0065 0.0000
```

## Properties
Its energy relative to the elements is -0.613 eV/f.u. As for the symmetry: Pnma (62).



(2)
# TaNiBOs

A relaxed structure of TaNiBOs (PBE-GGA, OQMD via LeMat-Bulk).

```
TaNiBOs
1.0
-2.6156 -3.0965 1.0876
-4.0126 0.1155 -1.2242
-1.3861 -2.6934 -2.9047
Os B Ni Ta
1 1 1 1
direct
0.5000 0.5000 0.5000
0.0000 0.0000 0.0000
0.7500 0.7500 0.7500
0.2500 0.2500 0.2500
```

## Properties
As for the symmetry: F-43m (216). Its energy above the most stable polymorph in this dataset is 0.4126 eV per atom.



(3)
# Ho3Sc3Te2Pd

A relaxed structure of Ho3Sc3Te2Pd (PBE-GGA, OQMD via LeMat-Bulk).

```
Ho3Sc3Te2Pd
1.0
8.0256 0.0000 0.0000
-4.0128 6.9504 0.0000
0.0000 0.0000 3.9330
Sc Ho Te Pd
3 3 2 1
direct
0.7588 0.0000 0.5000
0.0000 0.7588 0.5000
0.2412 0.2412 0.5000
0.0000 0.3953 0.0000
0.6047 0.6047 0.0000
0.3953 0.0000 0.0000
0.3333 0.6667 0.5000
0.6667 0.3333 0.5000
0.0000 0.0000 0.0000
```

## Properties
As for the symmetry: P-62m (189). Its energy above the most stable polymorph in this dataset is 0.0000 eV per atom.



(4)
# CoReSbMo

A relaxed structure of CoReSbMo (PBE-GGA, OQMD via LeMat-Bulk).

```
CoReSbMo
1.0
-2.5136 2.0947 3.0080
-3.6024 2.2564 -1.2981
-4.0553 -1.5404 0.9675
Sb Re Co Mo
1 1 1 1
direct
0.0000 0.0000 0.0000
0.2500 0.2500 0.2500
0.7500 0.7500 0.7500
0.5000 0.5000 0.5000
```

## Properties
As for the symmetry: F-43m (216). Its energy above the most stable polymorph in this dataset is 0.0000 eV per atom.